First-principles (PBE) data for Nd5GaBi2 after structural relaxation, as listed in Alexandria.

ΔE_f: -468 meV/atom
calculated volume: 30.3 A^3/atom
calculated density: 8.27 Mg/m³

Cell lengths 7.0317, 7.0317, 6.6231 Å; angles 112.57, 112.57, 105.94 degrees
Element x y z (fractional)
Nd 0.0000 0.0000 0.0000
Nd 0.4118 0.4118 0.8419
Nd 0.4832 0.9778 0.4216
Nd 0.5345 0.5345 0.4287
Nd 0.9778 0.4832 0.4216
Ga 0.9042 0.9042 0.4179
Bi 0.4807 0.9738 0.9210
Bi 0.9738 0.4807 0.9210

First-principles (PBE) data for Mg4Tl2Ga after structural relaxation, as listed in Alexandria.

ΔE_f: 0 meV/atom
calculated volume: 23.9 A^3/atom
calculated density: 5.70 Mg/m³

Cell lengths 7.5862, 7.5862, 7.5656 Å; angles 109.80, 109.80, 108.81 degrees
Element x y z (fractional)
Mg 0.0029 0.9971 0.5000
Mg 0.1805 0.5354 0.3493
Mg 0.3581 0.8525 0.2105
Mg 0.5354 0.1805 0.8493
Mg 0.5420 0.6869 0.8612
Mg 0.6869 0.5420 0.3612
Mg 0.8525 0.3581 0.7105
Mg 0.9971 0.0029 0.0000
Tl 0.1602 0.7696 0.7458
Tl 0.2695 0.3789 0.9644
Tl 0.3789 0.2695 0.4644
Tl 0.7696 0.1602 0.2458
Ga 0.6445 0.8946 0.6053
Ga 0.8946 0.6445 0.1053

First-principles (PBE) data for KTc2Pd after structural relaxation, as listed in Alexandria.

ΔE_f: 1599 meV/atom
calculated volume: 17.0 A^3/atom
calculated density: 8.33 Mg/m³

Cell lengths 4.5839, 4.5839, 4.5839 Å; angles 60.00, 60.00, 60.00 degrees
Element x y z (fractional)
K 0.0000 0.0000 0.0000
Tc 0.2500 0.2500 0.2500
Tc 0.7500 0.7500 0.7500
Pd 0.5000 0.5000 0.5000

First-principles (PBE) data for Er2MnP3Ir4 after structural relaxation, as listed in Alexandria.

ΔE_f: -884 meV/atom
calculated volume: 16.1 A^3/atom
calculated density: 12.87 Mg/m³

Cell lengths 4.0350, 4.0350, 9.9129 Å; angles 90.00, 90.00, 90.00 degrees
Element x y z (fractional)
Er 0.0000 0.5000 0.2493
Er 0.5000 0.0000 0.7507
Mn 0.5000 0.5000 0.0000
P 0.0000 0.0000 0.0000
P 0.0000 0.5000 0.6389
P 0.5000 0.0000 0.3611
Ir 0.0000 0.0000 0.5000
Ir 0.0000 0.5000 0.8687
Ir 0.5000 0.0000 0.1313
Ir 0.5000 0.5000 0.5000

First-principles (PBE) data for Pr5Tl4Zn after structural relaxation, as listed in Alexandria.

ΔE_f: -384 meV/atom
calculated volume: 29.4 A^3/atom
calculated density: 8.95 Mg/m³

Cell lengths 3.7763, 3.7763, 20.6510 Å; angles 90.00, 90.00, 90.00 degrees
Element x y z (fractional)
Pr 0.0000 0.0000 0.0000
Pr 0.0000 0.0000 0.2073
Pr 0.0000 0.0000 0.4140
Pr 0.0000 0.0000 0.5860
Pr 0.0000 0.0000 0.7927
Tl 0.5000 0.5000 0.1042
Tl 0.5000 0.5000 0.3116
Tl 0.5000 0.5000 0.6884
Tl 0.5000 0.5000 0.8958
Zn 0.5000 0.5000 0.5000

First-principles (PBE) data for Pm2ErSi3Ir4 after structural relaxation, as listed in Alexandria.

calculated volume: 18.7 A^3/atom
calculated density: 11.63 Mg/m³
E_form (uncorrected): -963.5 meV/atom

Cell lengths 4.1409, 4.1409, 10.9153 Å; angles 90.00, 90.00, 90.00 degrees
Element x y z (fractional)
Pm 0.0000 0.5000 0.2321
Pm 0.5000 0.0000 0.7679
Er 0.0000 0.0000 0.5000
Si 0.0000 0.5000 0.8814
Si 0.5000 0.0000 0.1186
Si 0.5000 0.5000 0.5000
Ir 0.0000 0.0000 0.0000
Ir 0.0000 0.5000 0.6610
Ir 0.5000 0.0000 0.3390
Ir 0.5000 0.5000 0.0000

First-principles (PBE) data for Zr2BiRu after structural relaxation, as listed in Alexandria.

ΔE_f: -16 meV/atom
calculated volume: 22.8 A^3/atom
calculated density: 8.95 Mg/m³

Cell lengths 6.2632, 6.2632, 6.2632 Å; angles 103.77, 103.77, 121.61 degrees
Element x y z (fractional)
Zr 0.0722 0.6250 0.9472
Zr 0.3750 0.3222 0.4472
Zr 0.6778 0.1250 0.0528
Zr 0.8750 0.9278 0.5528
Bi 0.2500 0.7500 0.5000
Bi 0.5000 0.5000 0.0000
Ru 0.0000 0.0000 0.0000
Ru 0.7500 0.2500 0.5000

First-principles (PBE) data for ZnCuAuO2 after structural relaxation, as listed in Alexandria.

calculated volume: 15.4 A^3/atom
calculated density: 7.70 Mg/m³
E_form (uncorrected): 226.7 meV/atom

Cell lengths 3.7448, 3.7448, 5.5011 Å; angles 90.00, 90.00, 90.00 degrees
Element x y z (fractional)
Zn 0.0000 0.0000 0.0000
Cu 0.5000 0.5000 0.5000
Au 0.0000 0.0000 0.5000
O 0.0000 0.5000 0.0000
O 0.5000 0.0000 0.0000